1.
A plane-wave DFT calculation with PBE was carried out for a relaxed CaTbCe2Te5 crystal.

Summary:
Spin magnetization   0.330 μB per atom
Density of states at the Fermi level   19.70 states/eV/f.u.
Formation energy (no corrections)   -0.9439 eV/atom
Calculated total energy   -42.70 eV for the cell shown

```
CaTbCe2Te5
1.0
5.573 0.000 0.000
0.000 5.573 0.000
0.000 0.000 11.609
Ca Tb Ce Te
1 1 2 5
Cartesian
0.000 0.000 0.000
0.000 0.000 5.805
2.787 2.787 3.490
2.787 2.787 8.119
0.000 0.000 2.851
0.000 0.000 8.758
0.000 2.787 5.805
2.787 0.000 5.805
2.787 2.787 0.000
```



2.
A plane-wave DFT calculation with PBE was carried out for a relaxed Tc2Te5 crystal.

Summary:
Spin magnetization   0.000 μB per atom
Formation energy (no corrections)   -0.2724 eV/atom
Calculated total energy   -460.16 eV for the cell shown

```
Tc2Te5
1.0
13.345 0.000 0.000
0.000 14.449 0.000
0.000 0.000 13.396
Tc Te
24 60
Cartesian
0.050 0.694 1.780
0.050 6.530 8.478
0.722 8.884 7.319
0.722 12.790 0.621
1.769 0.663 13.091
1.769 6.561 6.393
4.904 7.888 13.091
4.904 13.786 6.393
5.950 1.659 7.319
5.950 5.566 0.621
6.622 7.919 1.780
6.622 13.755 8.478
6.722 0.694 4.918
6.722 6.530 11.616
7.395 8.884 12.775
7.395 12.790 6.077
8.441 0.663 7.003
8.441 6.561 0.305
11.576 7.888 7.003
11.576 13.786 0.305
12.622 1.659 12.775
12.622 5.566 6.077
13.294 7.919 4.918
13.294 13.755 11.616
0.000 0.000 6.698
0.000 7.225 0.000
0.506 1.746 4.281
0.506 5.479 10.979
0.972 1.607 10.683
0.972 5.618 3.985
1.088 3.011 0.832
1.088 4.213 7.530
1.805 10.448 1.527
1.805 11.226 8.225
2.400 8.907 12.534
2.400 12.767 5.836
2.432 8.904 5.230
2.432 12.770 11.928
2.554 7.531 8.788
2.554 14.143 2.090
4.118 0.306 8.788
4.118 6.919 2.090
4.240 1.679 5.230
4.240 5.545 11.928
4.273 1.683 12.534
4.273 5.542 5.836
4.867 3.224 1.527
4.867 4.001 8.225
5.584 10.236 0.832
5.584 11.438 7.530
5.700 8.831 10.683
5.700 12.843 3.985
6.167 8.970 4.281
6.167 12.704 10.979
6.672 0.000 0.000
6.672 7.225 6.698
7.178 1.746 2.417
7.178 5.479 9.114
7.644 1.607 9.411
7.644 5.618 2.713
7.761 3.011 5.866
7.761 4.213 12.564
8.477 10.448 5.171
8.477 11.226 11.869
9.072 8.907 7.560
9.072 12.767 0.862
9.105 8.904 1.468
9.105 12.770 8.166
9.226 7.531 11.305
9.226 14.143 4.608
10.791 0.306 11.305
10.791 6.919 4.608
10.912 1.679 1.468
10.912 5.545 8.166
10.945 1.683 7.560
10.945 5.542 0.862
11.540 3.224 5.171
11.540 4.001 11.869
12.256 10.236 5.866
12.256 11.438 12.564
12.373 8.831 9.411
12.373 12.843 2.713
12.839 8.970 2.417
12.839 12.704 9.114
```



3.
A plane-wave DFT calculation with PBE was carried out for a relaxed Zr6CrTc5 crystal.

Summary:
Spin magnetization   0.247 μB per atom
Density of states at the Fermi level   9.87 states/eV/f.u.
Calculated total energy   -116.23 eV for the cell shown

```
Zr6CrTc5
1.0
2.334 -7.002 0.000
2.334 7.002 0.000
0.000 0.000 6.603
Zr Cr Tc
6 1 5
Cartesian
0.000 0.000 1.614
0.000 0.000 4.989
2.334 2.364 1.637
2.334 2.364 4.966
2.334 -2.364 1.637
2.334 -2.364 4.966
2.334 0.000 3.301
2.334 4.723 3.301
2.334 4.667 0.000
2.334 0.000 0.000
2.334 -4.667 0.000
2.334 -4.723 3.301
```